Computed, not measured: a relaxed structure of ScRe2As at the PBE-GGA level of DFT.

Cell: 4.7128 3.7393 3.7393 Å, 90.00 90.00 90.00°
Fractional coordinates of all 4 atoms:
As 0.5000 0.0000 0.5000
Re 0.0000 0.0000 0.0000
Re 0.0000 0.5000 0.5000
Sc 0.5000 0.5000 0.0000

Output
* volume: 65.90 Å³/cell
* space-group type: P4/mmm
* size of the total moment: 0.000 μB/f.u.
* formation enthalpy at 0 K: 0.26 eV per formula unit